Record 1
! PrEuGe, relaxed, DFT PBE; values from VASP
! * size of the total moment: 7.861 μB per formula unit
! * formation energy from the elements: -0.50 eV/atom
! * DFT total energy: -7.054 eV per atom
&SYSTEM
  ibrav = 0, nat = 3, ntyp = 3
/
ATOMIC_SPECIES
Ge 72.64 Ge.upf
Pr 140.91 Pr.upf
Eu 151.96 Eu.upf
CELL_PARAMETERS angstrom
-2.543 -4.468 -0.383
1.614 -3.609 -3.308
2.140 -4.344 1.767
ATOMIC_POSITIONS crystal
Ge 0.250 0.250 0.250
Pr 0.500 0.500 0.500
Eu 0.000 0.000 0.000


Record 2
! La3Cu3Rh2, relaxed, DFT PBE; values from VASP
! * size of the total moment: 0.000 μB per formula unit
! * formation energy from the elements: -0.44 eV/atom
! * DFT total energy: -5.657 eV per atom
&SYSTEM
  ibrav = 0, nat = 16, ntyp = 3
/
ATOMIC_SPECIES
Cu 63.55 Cu.upf
Rh 102.91 Rh.upf
La 138.91 La.upf
CELL_PARAMETERS angstrom
4.128 0.000 0.000
-2.064 5.448 0.000
0.000 0.000 15.999
ATOMIC_POSITIONS crystal
Cu 0.421 0.841 0.554
Cu 0.579 0.159 0.054
Cu 0.321 0.642 0.250
Cu 0.421 0.841 0.946
Cu 0.679 0.358 0.750
Cu 0.579 0.159 0.446
Rh 0.181 0.361 0.379
Rh 0.819 0.639 0.879
Rh 0.819 0.639 0.621
Rh 0.181 0.361 0.121
La 0.867 0.734 0.086
La 0.133 0.266 0.914
La 0.604 0.208 0.250
La 0.133 0.266 0.586
La 0.396 0.792 0.750
La 0.867 0.734 0.414


Record 3
! Pr3PtPbCl, relaxed, DFT PBE; values from VASP
! * energy relative to the elements, uncorrected: -0.971 eV/atom
! * size of the total moment: 0.000 μB per formula unit
! * DFT total energy: -5.294 eV per atom
&SYSTEM
  ibrav = 0, nat = 12, ntyp = 4
/
ATOMIC_SPECIES
Pr 140.91 Pr.upf
Pt 195.08 Pt.upf
Cl 35.45 Cl.upf
Pb 207.20 Pb.upf
CELL_PARAMETERS angstrom
4.635 0.000 0.000
0.000 7.822 -0.173
0.000 -3.253 9.685
ATOMIC_POSITIONS crystal
Pr 0.250 0.715 0.481
Pr 0.250 0.068 0.886
Pr 0.750 0.471 0.153
Pr 0.750 0.932 0.114
Pr 0.250 0.529 0.847
Pr 0.750 0.285 0.519
Pt 0.250 0.715 0.140
Pt 0.750 0.285 0.860
Cl 0.250 0.131 0.609
Cl 0.750 0.869 0.391
Pb 0.250 0.261 0.275
Pb 0.750 0.739 0.725